# 1
First-principles (PBE) data for a geometry-optimized ReTcB3 structure, as listed in the Alexandria database.

Lattice parameters (Å, degrees): 3.9230 3.9230 3.9230 90.00 90.00 90.00
Last column: nearest neighbours and their distance in Å.
Element x y z (fractional)
Re 0.0000 0.0000 0.0000  12 B 2.77
Tc 0.5000 0.5000 0.5000  6 B 1.96
B 0.0000 0.5000 0.5000  2 Tc 1.96
B 0.5000 0.0000 0.5000  2 Tc 1.96
B 0.5000 0.5000 0.0000  2 Tc 1.96

Values from the calculation:
Space group = No. 221
Formation enthalpy at 0 K = 1.63 eV/atom
VASP energy = -6.940 eV/atom
Relative energy among the computed polymorphs = 1.10 eV/f.u.

# 2
First-principles (PBE) data for a geometry-optimized Re3TcB structure, as listed in the Alexandria database.

Lattice parameters (Å, degrees): 4.0963 4.0963 4.0963 90.00 90.00 90.00
Last column: nearest neighbours and their distance in Å.
Element x y z (fractional)
Re 0.0000 0.0000 0.5000  2 B 2.05
Re 0.0000 0.5000 0.0000  2 B 2.05
Re 0.5000 0.0000 0.0000  2 B 2.05
Tc 0.5000 0.5000 0.5000  12 Re 2.90
B 0.0000 0.0000 0.0000  6 Re 2.05

Values from the calculation:
Space group = No. 221
Formation enthalpy at 0 K = 0.20 eV/atom
VASP energy = -10.673 eV/atom
Relative energy among the computed polymorphs = 1.24 eV/f.u.

# 3
First-principles (PBE) data for a geometry-optimized ReTc2B2 structure, as listed in the Alexandria database.

Lattice parameters (Å, degrees): 6.1410 6.1410 2.9270 90.00 90.00 90.00
Last column: nearest neighbours and their distance in Å.
Element x y z (fractional)
Re 0.0000 0.0000 0.0000  4 B 2.38
Re 0.5000 0.5000 0.0000  4 B 2.38
Tc 0.1550 0.3450 0.5000  6 B 2.32
Tc 0.3450 0.8450 0.5000  6 B 2.32
Tc 0.6550 0.1550 0.5000  6 B 2.32
Tc 0.8450 0.6550 0.5000  6 B 2.32
B 0.1380 0.6380 0.0000  6 Tc 2.32, 2 Re 2.38, 1 B 2.40
B 0.3620 0.1380 0.0000  6 Tc 2.32, 2 Re 2.38, 1 B 2.40
B 0.6380 0.8620 0.0000  6 Tc 2.32, 2 Re 2.38, 1 B 2.40
B 0.8620 0.3620 0.0000  6 Tc 2.32, 2 Re 2.38, 1 B 2.40

Values from the calculation:
Space group = No. 127
Formation enthalpy at 0 K = -0.18 eV/atom
VASP energy = -9.487 eV/atom
Relative energy among the computed polymorphs = 0.00 eV/f.u.

# 4
First-principles (PBE) data for a geometry-optimized ReTc4B2 structure, as listed in the Alexandria database.

Lattice parameters (Å, degrees): 5.3232 5.9156 6.0280 99.75 98.06 108.48
Last column: nearest neighbours and their distance in Å.
Element x y z (fractional)
Re 0.0166 0.3332 0.3088  3 B 2.22-2.37
Re 0.9834 0.6668 0.6912  3 B 2.22-2.37
Tc 0.2029 0.1399 0.9231  2 B 2.18-2.30
Tc 0.2618 0.7033 0.0999  2 B 2.20-2.23
Tc 0.2682 0.0633 0.4794  4 B 2.20-2.45
Tc 0.4560 0.5365 0.7039  2 B 2.21
Tc 0.5440 0.4635 0.2961  2 B 2.21
Tc 0.7318 0.9367 0.5206  4 B 2.20-2.45
Tc 0.7382 0.2967 0.9001  2 B 2.20-2.23
Tc 0.7971 0.8601 0.0769  2 B 2.18-2.30
B 0.0291 0.3049 0.6727  4 Tc 2.18-2.21, 2 Re 2.22
B 0.4479 0.9119 0.7824  5 Tc 2.21-2.38, 1 Re 2.37
B 0.5521 0.0881 0.2176  5 Tc 2.21-2.38, 1 Re 2.37
B 0.9709 0.6951 0.3273  4 Tc 2.18-2.21, 2 Re 2.22

Values from the calculation:
Space group = No. 2
Formation enthalpy at 0 K = -0.18 eV/atom
VASP energy = -9.790 eV/atom
Relative energy among the computed polymorphs = 0.00 eV/f.u.

# 5
First-principles (PBE) data for a geometry-optimized Re3Tc3B2 structure, as listed in the Alexandria database.

Lattice parameters (Å, degrees): 5.3214 5.3214 13.6443 90.00 90.00 147.93
Last column: nearest neighbours and their distance in Å.
Element x y z (fractional)
Re 0.0210 0.9790 0.7500  5 Tc 2.45-2.71
Re 0.1660 0.8340 0.5606  2 B 2.22
Re 0.1660 0.8340 0.9394  2 B 2.22
Re 0.8340 0.1660 0.0606  2 B 2.22
Re 0.8340 0.1660 0.4394  2 B 2.22
Re 0.9790 0.0210 0.2500  5 Tc 2.45-2.71
Tc 0.2604 0.7396 0.7500  4 B 2.22, 1 Re 2.45
Tc 0.4495 0.5505 0.5921  2 B 2.20
Tc 0.4495 0.5505 0.9079  2 B 2.20
Tc 0.5505 0.4495 0.0921  2 B 2.20
Tc 0.5505 0.4495 0.4079  2 B 2.20
Tc 0.7396 0.2604 0.2500  4 B 2.22, 1 Re 2.45
B 0.2013 0.7987 0.1313  4 Tc 2.20-2.22, 2 Re 2.22
B 0.2013 0.7987 0.3687  4 Tc 2.20-2.22, 2 Re 2.22
B 0.7987 0.2013 0.6313  4 Tc 2.20-2.22, 2 Re 2.22
B 0.7987 0.2013 0.8687  4 Tc 2.20-2.22, 2 Re 2.22

Values from the calculation:
Space group = No. 63
Formation enthalpy at 0 K = -0.11 eV/atom
VASP energy = -10.338 eV/atom

# 6
First-principles (PBE) data for a geometry-optimized Re5TcB3 structure, as listed in the Alexandria database.

Lattice parameters (Å, degrees): 5.6285 6.0219 7.6587 68.22 72.53 73.64
Last column: nearest neighbours and their distance in Å.
Element x y z (fractional)
Re 0.0744 0.1563 0.2033  3 B 2.10-2.16
Re 0.2908 0.2021 0.4481  3 B 2.12-2.14
Re 0.2963 0.6668 0.4696  3 B 2.08-2.14
Re 0.3713 0.9635 0.8727  3 B 2.11-2.17
Re 0.3912 0.4948 0.8692  3 B 2.12-2.19
Re 0.6088 0.5052 0.1308  3 B 2.12-2.19
Re 0.6287 0.0365 0.1273  3 B 2.11-2.17
Re 0.7037 0.3332 0.5304  3 B 2.08-2.14
Re 0.7092 0.7979 0.5519  3 B 2.12-2.14
Re 0.9256 0.8437 0.7967  3 B 2.10-2.16
Tc 0.0360 0.6762 0.1912  3 B 2.13-2.18
Tc 0.9640 0.3238 0.8088  3 B 2.13-2.18
B 0.0000 0.5000 0.0000  4 Re 2.10-2.12, 2 Tc 2.18
B 0.0000 0.5000 0.5000  4 Re 2.09-2.13, 2 Tc 2.18
B 0.3069 0.8517 0.6567  6 Re 2.10-2.19
B 0.3439 0.8308 0.1726  5 Re 2.08-2.17, 1 Tc 2.13
B 0.6561 0.1692 0.8274  5 Re 2.08-2.17, 1 Tc 2.13
B 0.6931 0.1483 0.3433  6 Re 2.10-2.19

Values from the calculation:
Space group = No. 2
Formation enthalpy at 0 K = 0.00 eV/atom
VASP energy = -10.298 eV/atom

# 7
First-principles (PBE) data for a geometry-optimized ReTc6B2 structure, as listed in the Alexandria database.

Lattice parameters (Å, degrees): 6.7049 6.7049 6.7049 113.28 111.67 103.62
Last column: nearest neighbours and their distance in Å.
Element x y z (fractional)
Re 0.0000 0.0000 0.0000  8 Tc 2.52-2.63, 2 B 2.59
Re 0.5000 0.5000 0.0000  12 Tc 2.60-2.75
Tc 0.0450 0.2439 0.8011  2 B 2.30-2.56, 1 Re 2.52
Tc 0.1935 0.2962 0.4898  3 B 2.29-2.46
Tc 0.1935 0.7038 0.8973  3 B 2.29-2.46
Tc 0.3226 0.0176 0.6950  3 B 2.26-2.37
Tc 0.3226 0.6276 0.3050  3 B 2.26-2.37
Tc 0.4428 0.2439 0.1989  2 B 2.30-2.56, 1 Re 2.52
Tc 0.5572 0.7561 0.8011  2 B 2.30-2.56, 1 Re 2.52
Tc 0.6774 0.3724 0.6950  3 B 2.26-2.37
Tc 0.6774 0.9824 0.3050  3 B 2.26-2.37
Tc 0.8065 0.2962 0.1027  3 B 2.29-2.46
Tc 0.8065 0.7038 0.5102  3 B 2.29-2.46
Tc 0.9550 0.7561 0.1989  2 B 2.30-2.56, 1 Re 2.52
B 0.1130 0.6130 0.5000  1 B 1.87
B 0.3444 0.0000 0.3444  8 Tc 2.30-2.46, 1 B 2.34
B 0.6556 0.0000 0.6556  8 Tc 2.30-2.46, 1 B 2.34
B 0.8870 0.3870 0.5000  1 B 1.87

Values from the calculation:
Space group = No. 71
Formation enthalpy at 0 K = -0.14 eV/atom
VASP energy = -9.922 eV/atom

# 8
First-principles (PBE) data for a geometry-optimized Re3TcB structure, as listed in the Alexandria database.

Lattice parameters (Å, degrees): 4.6722 4.6722 4.6722 90.00 90.00 90.00
Last column: nearest neighbours and their distance in Å.
Element x y z (fractional)
Re 0.0000 0.0000 0.5000  2 Tc 2.34
Re 0.0000 0.5000 0.0000  2 Tc 2.34
Re 0.5000 0.0000 0.0000  2 Tc 2.34
Tc 0.0000 0.0000 0.0000  6 Re 2.34
B 0.5000 0.5000 0.5000  12 Re 3.30

Values from the calculation:
Space group = No. 221
Formation enthalpy at 0 K = 3.03 eV/atom
VASP energy = -7.848 eV/atom
Relative energy among the computed polymorphs = 15.36 eV/f.u.

# 9
First-principles (PBE) data for a geometry-optimized Re2TcB4 structure, as listed in the Alexandria database.

Lattice parameters (Å, degrees): 3.9425 3.9425 10.9760 90.00 90.00 90.00
Last column: nearest neighbours and their distance in Å.
Element x y z (fractional)
Re 0.0000 0.0000 0.1201  1 B 2.01
Re 0.0000 0.0000 0.8799  1 B 2.01
Re 0.5000 0.5000 0.3799  1 B 2.01
Re 0.5000 0.5000 0.6201  1 B 2.01
Tc 0.0000 0.0000 0.5000  6 B 1.97-2.16
Tc 0.5000 0.5000 0.0000  6 B 1.97-2.16
B 0.0000 0.0000 0.3035  1 Re 2.01, 1 Tc 2.16
B 0.0000 0.0000 0.6965  1 Re 2.01, 1 Tc 2.16
B 0.0000 0.5000 0.0000  2 Tc 1.97
B 0.0000 0.5000 0.5000  2 Tc 1.97
B 0.5000 0.0000 0.0000  2 Tc 1.97
B 0.5000 0.0000 0.5000  2 Tc 1.97
B 0.5000 0.5000 0.1965  1 Re 2.01, 1 Tc 2.16
B 0.5000 0.5000 0.8035  1 Re 2.01, 1 Tc 2.16

Values from the calculation:
Space group = No. 139
Formation enthalpy at 0 K = 1.02 eV/atom
VASP energy = -7.832 eV/atom

# 10
First-principles (PBE) data for a geometry-optimized Re2TcB structure, as listed in the Alexandria database.

Lattice parameters (Å, degrees): 2.8708 2.8708 21.7263 90.00 90.00 120.00
Last column: nearest neighbours and their distance in Å.
Element x y z (fractional)
Re 0.0000 0.0000 0.2312  3 B 2.17
Re 0.0000 0.0000 0.7688  3 B 2.17
Re 0.3333 0.6667 0.4354  3 B 2.17
Re 0.3333 0.6667 0.8979  3 B 2.17
Re 0.6667 0.3333 0.1021  3 B 2.17
Re 0.6667 0.3333 0.5646  3 B 2.17
Tc 0.0000 0.0000 0.0000  6 Re 2.77, 6 Tc 2.87
Tc 0.3333 0.6667 0.6667  6 Re 2.77, 6 Tc 2.87
Tc 0.6667 0.3333 0.3333  6 Re 2.77, 6 Tc 2.87
B 0.0000 0.0000 0.5000  6 Re 2.17
B 0.3333 0.6667 0.1667  6 Re 2.17
B 0.6667 0.3333 0.8333  6 Re 2.17

Values from the calculation:
Space group = No. 166
Formation enthalpy at 0 K = 0.08 eV/atom
VASP energy = -10.403 eV/atom

# 11
First-principles (PBE) data for a geometry-optimized ReTc4B2 structure, as listed in the Alexandria database.

Lattice parameters (Å, degrees): 3.7345 12.6493 3.7366 90.00 90.00 90.00
Last column: nearest neighbours and their distance in Å.
Element x y z (fractional)
Re 0.0000 0.0000 0.0000  8 B 2.78, 8 Tc 2.86-2.87
Re 0.5000 0.5000 0.0000  8 B 2.78, 8 Tc 2.86-2.87
Tc 0.0000 0.1714 0.5000  2 B 2.28
Tc 0.0000 0.3279 0.0000  2 B 2.28
Tc 0.0000 0.6721 0.0000  2 B 2.28
Tc 0.0000 0.8286 0.5000  2 B 2.28
Tc 0.5000 0.1721 0.0000  2 B 2.28
Tc 0.5000 0.3286 0.5000  2 B 2.28
Tc 0.5000 0.6714 0.5000  2 B 2.28
Tc 0.5000 0.8279 0.0000  2 B 2.28
B 0.0000 0.4319 0.5000  1 B 1.72
B 0.0000 0.5681 0.5000  1 B 1.72
B 0.5000 0.0681 0.5000  1 B 1.72
B 0.5000 0.9319 0.5000  1 B 1.72

Values from the calculation:
Space group = No. 65
Formation enthalpy at 0 K = 0.31 eV/atom
VASP energy = -9.302 eV/atom
Relative energy among the computed polymorphs = 3.42 eV/f.u.